Record 1
U2Ge2Os3: optimized geometry, GGA-PBE.

Output
Total DFT energy (no corrections) ... -9.47 eV/atom
V ... 19.00 Å³/atom
Energy of formation from the pure elements ... -0.110 eV per atom

a = 7.0178 Å, b = 7.0178 Å, c = 7.0178 Å
α = 109.47°, β = 109.47°, γ = 109.47°
Fractional coordinates of all 14 atoms:
U  0.0000  0.4893  0.5000
U  0.0107  0.0107  0.0107
U  0.4893  0.5000  0.0000
U  0.5000  0.0000  0.4893
Ge  0.0000  0.8899  0.5000
Ge  0.5000  0.0000  0.8899
Ge  0.6101  0.6101  0.6101
Ge  0.8899  0.5000  0.0000
Os  0.9996  0.2496  0.7500
Os  0.2504  0.2500  0.5004
Os  0.2500  0.5004  0.2504
Os  0.2496  0.7500  0.9996
Os  0.5004  0.2504  0.2500
Os  0.7500  0.9996  0.2496


Record 2
U2GeOs: optimized geometry, GGA-PBE.

Output
Energy above the lowest structure with this stoichiometry ... 272 meV per atom
Total DFT energy (no corrections) ... -9.56 eV/atom
V ... 18.75 Å³/atom
Energy of formation from the pure elements ... 0.048 eV per atom

a = 9.9320 Å, b = 9.9320 Å, c = 9.9320 Å
α = 17.23°, β = 17.23°, γ = 17.23°
Fractional coordinates of all 4 atoms:
U  0.2467  0.2467  0.2467
U  0.7533  0.7533  0.7533
Ge  0.0000  0.0000  0.0000
Os  0.5000  0.5000  0.5000


Record 3
U2GeOs: optimized geometry, GGA-PBE.

Output
Energy above the lowest structure with this stoichiometry ... 56 meV per atom
Total DFT energy (no corrections) ... -9.77 eV/atom
V ... 19.51 Å³/atom
Energy of formation from the pure elements ... -0.169 eV per atom

a = 3.7189 Å, b = 3.7189 Å, c = 5.6435 Å
α = 90.00°, β = 90.00°, γ = 90.00°
Fractional coordinates of all 4 atoms:
U  0.0000  0.0000  0.2467
U  0.0000  0.0000  0.7533
Ge  0.5000  0.5000  0.0000
Os  0.5000  0.5000  0.5000


Record 4
U2GeOs: optimized geometry, GGA-PBE.

Output
Energy above the lowest structure with this stoichiometry ... 70 meV per atom
Total DFT energy (no corrections) ... -9.76 eV/atom
V ... 18.33 Å³/atom
Energy of formation from the pure elements ... -0.155 eV per atom

a = 4.1316 Å, b = 4.1316 Å, c = 4.2942 Å
α = 90.00°, β = 90.00°, γ = 90.00°
Fractional coordinates of all 4 atoms:
U  0.0000  0.5000  0.0000
U  0.5000  0.0000  0.0000
Ge  0.0000  0.0000  0.5000
Os  0.5000  0.5000  0.5000


Record 5
UGeOs2: optimized geometry, GGA-PBE.

Output
Energy above the lowest structure with this stoichiometry ... 150 meV per atom
Total DFT energy (no corrections) ... -9.46 eV/atom
V ... 17.25 Å³/atom
Energy of formation from the pure elements ... 0.135 eV per atom

a = 3.3705 Å, b = 3.3705 Å, c = 6.0722 Å
α = 90.00°, β = 90.00°, γ = 90.00°
Fractional coordinates of all 4 atoms:
U  0.0000  0.0000  0.0000
Ge  0.0000  0.0000  0.5000
Os  0.5000  0.5000  0.2634
Os  0.5000  0.5000  0.7366


Record 6
U2GeOs2: optimized geometry, GGA-PBE.

Output
Total DFT energy (no corrections) ... -9.91 eV/atom
V ... 19.30 Å³/atom
Energy of formation from the pure elements ... 0.018 eV per atom

a = 6.9289 Å, b = 9.0035 Å, c = 3.0933 Å
α = 90.00°, β = 90.00°, γ = 90.00°
Fractional coordinates of all 10 atoms:
U  0.1394  0.1854  0.0000
U  0.3606  0.6854  0.0000
U  0.6394  0.3146  0.0000
U  0.8606  0.8146  0.0000
Ge  0.0000  0.5000  0.0000
Ge  0.5000  0.0000  0.0000
Os  0.1905  0.9139  0.5000
Os  0.3095  0.4139  0.5000
Os  0.6905  0.5861  0.5000
Os  0.8095  0.0861  0.5000


Record 7
U2GeOs: optimized geometry, GGA-PBE.

Output
Energy above the lowest structure with this stoichiometry ... 0 meV per atom
Total DFT energy (no corrections) ... -9.83 eV/atom
V ... 17.73 Å³/atom
Energy of formation from the pure elements ... -0.224 eV per atom

a = 4.5877 Å, b = 5.7508 Å, c = 5.3754 Å
α = 90.00°, β = 90.00°, γ = 90.00°
Fractional coordinates of all 8 atoms:
U  0.2500  0.0089  0.1299
U  0.2500  0.4911  0.1299
U  0.7500  0.5089  0.8701
U  0.7500  0.9911  0.8701
Ge  0.2500  0.2500  0.6219
Ge  0.7500  0.7500  0.3781
Os  0.2500  0.7500  0.6258
Os  0.7500  0.2500  0.3742


Record 8
UGe3Os3: optimized geometry, GGA-PBE.

Output
Total DFT energy (no corrections) ... -7.67 eV/atom
V ... 21.75 Å³/atom
Energy of formation from the pure elements ... 0.731 eV per atom

a = 6.7275 Å, b = 6.7275 Å, c = 6.7275 Å
α = 90.00°, β = 90.00°, γ = 90.00°
Fractional coordinates of all 14 atoms:
U  0.0000  0.0000  0.0000
U  0.5000  0.5000  0.5000
Ge  0.0000  0.2500  0.5000
Ge  0.0000  0.7500  0.5000
Ge  0.2500  0.5000  0.0000
Ge  0.5000  0.0000  0.2500
Ge  0.5000  0.0000  0.7500
Ge  0.7500  0.5000  0.0000
Os  0.0000  0.5000  0.2500
Os  0.0000  0.5000  0.7500
Os  0.2500  0.0000  0.5000
Os  0.5000  0.2500  0.0000
Os  0.5000  0.7500  0.0000
Os  0.7500  0.0000  0.5000


Record 9
U6GeOs2: optimized geometry, GGA-PBE.

Output
Total DFT energy (no corrections) ... -10.54 eV/atom
V ... 18.61 Å³/atom
Energy of formation from the pure elements ... -0.004 eV per atom

a = 8.2998 Å, b = 8.2998 Å, c = 8.2998 Å
α = 160.13°, β = 119.97°, γ = 63.89°
Fractional coordinates of all 9 atoms:
U  0.0052  0.1699  0.8353
U  0.3308  0.0000  0.3308
U  0.3346  0.1699  0.1647
U  0.6654  0.8301  0.8353
U  0.6692  0.0000  0.6692
U  0.9948  0.8301  0.1647
Ge  0.0000  0.5000  0.5000
Os  0.3452  0.3452  0.0000
Os  0.6548  0.6548  0.0000


Record 10
UGe6Os5: optimized geometry, GGA-PBE.

Output
Total DFT energy (no corrections) ... -7.74 eV/atom
V ... 16.50 Å³/atom
Energy of formation from the pure elements ... 0.188 eV per atom

a = 6.1898 Å, b = 6.1898 Å, c = 7.1340 Å
α = 98.80°, β = 98.80°, γ = 129.15°
Fractional coordinates of all 12 atoms:
U  0.0000  0.0000  0.0000
Ge  0.0880  0.4806  0.3041
Ge  0.3582  0.3582  0.7894
Ge  0.4806  0.0880  0.3041
Ge  0.5194  0.9120  0.6959
Ge  0.6418  0.6418  0.2106
Ge  0.9120  0.5194  0.6959
Os  0.1173  0.8827  0.5000
Os  0.3066  0.6934  0.0000
Os  0.5000  0.5000  0.5000
Os  0.6934  0.3066  0.0000
Os  0.8827  0.1173  0.5000


Record 11
U2GeOs: optimized geometry, GGA-PBE.

Output
Energy above the lowest structure with this stoichiometry ... 32 meV per atom
Total DFT energy (no corrections) ... -9.80 eV/atom
V ... 18.64 Å³/atom
Energy of formation from the pure elements ... -0.193 eV per atom

a = 5.9124 Å, b = 4.5428 Å, c = 6.0948 Å
α = 90.00°, β = 114.36°, γ = 90.00°
Fractional coordinates of all 8 atoms:
U  0.1185  0.2500  0.2007
U  0.3539  0.7500  0.1197
U  0.6461  0.2500  0.8803
U  0.8815  0.7500  0.7993
Ge  0.3182  0.7500  0.6081
Ge  0.6818  0.2500  0.3919
Os  0.1339  0.2500  0.6980
Os  0.8661  0.7500  0.3020


Record 12
UGeOs2: optimized geometry, GGA-PBE.

Output
Energy above the lowest structure with this stoichiometry ... 24 meV per atom
Total DFT energy (no corrections) ... -9.58 eV/atom
V ... 17.61 Å³/atom
Energy of formation from the pure elements ... 0.008 eV per atom

a = 4.7423 Å, b = 4.2965 Å, c = 6.9994 Å
α = 90.00°, β = 99.04°, γ = 90.00°
Fractional coordinates of all 8 atoms:
U  0.1889  0.2500  0.2173
U  0.8111  0.7500  0.7827
Ge  0.2841  0.2500  0.7120
Ge  0.7159  0.7500  0.2880
Os  0.2559  0.7500  0.4980
Os  0.3347  0.7500  0.9244
Os  0.6653  0.2500  0.0756
Os  0.7441  0.2500  0.5020


Record 13
UGeOs2: optimized geometry, GGA-PBE.

Output
Energy above the lowest structure with this stoichiometry ... 104 meV per atom
Total DFT energy (no corrections) ... -9.50 eV/atom
V ... 17.91 Å³/atom
Energy of formation from the pure elements ... 0.089 eV per atom

a = 4.8439 Å, b = 4.8439 Å, c = 4.8439 Å
α = 55.33°, β = 55.33°, γ = 55.33°
Fractional coordinates of all 4 atoms:
U  0.0000  0.0000  0.0000
Ge  0.5000  0.5000  0.5000
Os  0.2135  0.2135  0.2135
Os  0.7865  0.7865  0.7865


Record 14
UGeOs2: optimized geometry, GGA-PBE.

Output
Energy above the lowest structure with this stoichiometry ... 0 meV per atom
Total DFT energy (no corrections) ... -9.61 eV/atom
V ... 16.91 Å³/atom
Energy of formation from the pure elements ... -0.016 eV per atom

a = 4.2069 Å, b = 4.2069 Å, c = 3.8208 Å
α = 90.00°, β = 90.00°, γ = 90.00°
Fractional coordinates of all 4 atoms:
U  0.0000  0.0000  0.0000
Ge  0.5000  0.5000  0.0000
Os  0.0000  0.5000  0.5000
Os  0.5000  0.0000  0.5000


Record 15
U4GeOs: optimized geometry, GGA-PBE.

Output
Total DFT energy (no corrections) ... -10.28 eV/atom
V ... 19.52 Å³/atom
Energy of formation from the pure elements ... -0.109 eV per atom

a = 4.9159 Å, b = 4.9183 Å, c = 5.3591 Å
α = 90.00°, β = 115.32°, γ = 90.00°
Fractional coordinates of all 6 atoms:
U  0.1384  0.0000  0.3362
U  0.1469  0.5000  0.8553
U  0.8531  0.5000  0.1447
U  0.8616  0.0000  0.6638
Ge  0.5000  0.5000  0.5000
Os  0.5000  0.0000  0.0000


Record 16
VGe4Os: optimized geometry, GGA-PBE.

Output
Total DFT energy (no corrections) ... -6.32 eV/atom
V ... 17.29 Å³/atom
Energy of formation from the pure elements ... 0.155 eV per atom

a = 3.7967 Å, b = 3.7967 Å, c = 7.1976 Å
α = 90.00°, β = 90.00°, γ = 90.00°
Fractional coordinates of all 6 atoms:
V  0.0000  0.0000  0.0000
Ge  0.0000  0.5000  0.2547
Ge  0.0000  0.5000  0.7453
Ge  0.5000  0.0000  0.2547
Ge  0.5000  0.0000  0.7453
Os  0.5000  0.5000  0.5000


Record 17
VGeOs: optimized geometry, GGA-PBE.

Output
Total DFT energy (no corrections) ... -8.43 eV/atom
V ... 14.26 Å³/atom
Energy of formation from the pure elements ... -0.106 eV per atom

a = 4.4909 Å, b = 4.5580 Å, c = 4.5580 Å
α = 66.54°, β = 90.00°, γ = 90.00°
Fractional coordinates of all 6 atoms:
V  0.2500  0.1722  0.8278
V  0.7500  0.8278  0.1722
Ge  0.2500  0.5182  0.1418
Ge  0.7500  0.1418  0.5182
Os  0.2500  0.8503  0.4845
Os  0.7500  0.4845  0.8503


Record 18
V2Ge4Os: optimized geometry, GGA-PBE.

Output
Energy above the lowest structure with this stoichiometry ... 0 meV per atom
Total DFT energy (no corrections) ... -6.84 eV/atom
V ... 16.31 Å³/atom
Energy of formation from the pure elements ... 0.008 eV per atom

a = 7.3987 Å, b = 7.3987 Å, c = 5.4881 Å
α = 110.24°, β = 110.24°, γ = 23.97°
Fractional coordinates of all 7 atoms:
V  0.2436  0.2436  0.2429
V  0.7564  0.7564  0.7571
Ge  0.1200  0.1200  0.7786
Ge  0.3880  0.3880  0.6679
Ge  0.6120  0.6120  0.3321
Ge  0.8800  0.8800  0.2214
Os  0.0000  0.0000  0.0000


Record 19
VGeOs: optimized geometry, GGA-PBE.

Output
Total DFT energy (no corrections) ... -8.39 eV/atom
V ... 13.96 Å³/atom
Energy of formation from the pure elements ... -0.072 eV per atom

a = 5.1504 Å, b = 5.1504 Å, c = 5.1504 Å
α = 146.29°, β = 146.29°, γ = 48.41°
Fractional coordinates of all 3 atoms:
V  0.0000  0.0000  0.0000
Ge  0.3324  0.3324  0.0000
Os  0.6674  0.6674  0.0000


Record 20
VGeOs: optimized geometry, GGA-PBE.

Output
Total DFT energy (no corrections) ... -8.44 eV/atom
V ... 14.22 Å³/atom
Energy of formation from the pure elements ... -0.120 eV per atom

a = 4.4433 Å, b = 2.9435 Å, c = 6.7956 Å
α = 90.00°, β = 106.22°, γ = 90.00°
Fractional coordinates of all 6 atoms:
V  0.0000  0.0000  0.0000
V  0.4859  0.0000  0.3423
Ge  0.1274  0.0000  0.6594
Ge  0.4904  0.5000  0.0132
Os  0.6214  0.5000  0.6648
Os  0.9910  0.5000  0.3363